Density functional theory data (PBE+U) for crystalline Cs2NaVO4 at its relaxed geometry.

Computed properties:
distance to the lowest polymorph of the same formula: 0 meV per atom
size of the total moment: 0.0 Bohr magnetons per cell
N(E_F): 0.000 states/eV/atom

Lattice parameters (Å, degrees): 6.186 6.277 8.433 90.00 93.21 90.00
Space group P2_1/m (No. 11)
Symmetry-distinct sites (fractional):
Cs (0.148, 0.250, 0.181)
Cs (0.299, 0.750, 0.514)
Na (0.373, 0.750, 0.028)
V (0.202, 0.250, 0.758)
O (0.065, 0.750, 0.182)
O (0.202, 0.250, 0.551)
O (0.340, 0.025, 0.835)